[1]
First-principles (PBE) data for a geometry-optimized TbPm2Ho2Sc2 structure, as listed in the Alexandria database.

The structure belongs to space group C2/m (No. 12); the cell edges are 11.362, 3.433 and 11.589 Å and the angles 90.00°, 108.83° and 90.00°. Symmetry generates all atoms from Tb at (0.000, 0.000, 0.000), Pm at (0.172, 0.500, 0.589), Ho at (0.046, 0.500, 0.267) and Sc at (0.228, 0.000, 0.869).

As for the crystal system: monoclinic. Its energy of formation is 0.11 eV per atom.

[2]
First-principles (PBE) data for a geometry-optimized Pm3ScBi4 structure, as listed in the Alexandria database.

The structure belongs to space group P2/c (No. 13); the cell edges are 7.799, 9.033 and 7.809 Å and the angles 90.00°, 109.50° and 90.00°. Symmetry generates all atoms from Pm at (0.000, 0.124, 0.250), Pm at (0.000, 0.373, 0.750), Pm at (0.500, 0.374, 0.250), Sc at (0.500, 0.125, 0.750), Bi at (0.256, 0.368, 0.507) and Bi at (0.264, 0.117, 0.000).

As for the crystal system: monoclinic. Its energy of formation is -0.85 eV per atom.